LiHgAs2 | PBE | relaxed

Summary:
Its formation energy is 42 meV/atom.

```
data_LiHgAs2
_cell_length_a 2.841
_cell_length_b 2.841
_cell_length_c 10.062
_cell_angle_alpha 90.00
_cell_angle_beta 90.00
_cell_angle_gamma 90.00
_symmetry_space_group_name_H-M 'P 4 m m'
_symmetry_Int_Tables_number 99
_symmetry_space_group_name_Hall 'P 4 -2'
loop_
_atom_site_label
_atom_site_type_symbol
_atom_site_fract_x
_atom_site_fract_y
_atom_site_fract_z
_atom_site_occupancy
Li1 Li 0.000 0.000 0.000 1
Hg1 Hg 0.500 0.500 0.780 1
As1 As 0.000 0.000 0.514 1
As2 As 0.500 0.500 0.192 1
```